Ce5PrPb3 | PBE | optimized geometry

The total moment is 17.0 μB/cell. The density of states at the Fermi level comes out at 2.78 states/eV/atom. The value obtained for the calculated volume is 30.36 A^3/atom. For the density, the calculation gives 8.89 g/cm3. The value obtained for the electronic total energy is -97.1 eV per cell.

The space group is P6_3/mcm (No. 193) and the conventional cell measures 9.6701, 9.6701 and 6.7483 Å, with angles of 90.00, 90.00 and 120.00 degrees. The inequivalent atoms are Ce at (0.0000, 0.3388, 0.2500), Ce at (0.3333, 0.6667, 0.0000), Pr at (0.0000, 0.0000, 0.0000) and Pb at (0.0000, 0.3301, 0.7500).